Entry 1:
Crystalline Pr2U at its relaxed geometry. Source: the Open Quantum Materials Database, functional PBE-GGA.

abc: 8.977 8.977 8.977
angles: 60.00 60.00 60.00
Last column: magnetic moment on the atom in μB.
Atoms (fractional coordinates):
Pr  0.375  0.375  0.375  0.05
Pr  0.875  0.375  0.375  0.02
Pr  0.375  0.875  0.375  0.05
Pr  0.375  0.375  0.875  0.06
U  0.250  0.250  0.250  0.66
U  0.500  0.500  0.500  0.67


Entry 2:
Crystalline PrU at its relaxed geometry. Source: the Open Quantum Materials Database, functional PBE-GGA.

abc: 4.460 4.460 4.460
angles: 60.00 60.00 60.00
Last column: magnetic moment on the atom in μB.
Atoms (fractional coordinates):
Pr  0.000  0.000  0.000  0.07
U  0.250  0.250  0.250  0.57


Entry 3:
Crystalline PrUW at its relaxed geometry. Source: the Open Quantum Materials Database, functional PBE-GGA.

abc: 4.851 4.851 4.851
angles: 60.00 60.00 60.00
Last column: magnetic moment on the atom in μB.
Atoms (fractional coordinates):
Pr  0.000  0.000  0.000  0.05
U  0.500  0.500  0.500  1.92
W  0.250  0.250  0.250  -0.25


Entry 4:
Crystalline PrW at its relaxed geometry. Source: the Open Quantum Materials Database, functional PBE-GGA.

abc: 4.721 4.721 4.721
angles: 60.00 60.00 60.00
Last column: magnetic moment on the atom in μB.
Atoms (fractional coordinates):
Pr  0.000  0.000  0.000  0.22
W  0.250  0.250  0.250  2.24


Entry 5:
Crystalline PrW at its relaxed geometry. Source: the Open Quantum Materials Database, functional PBE-GGA.

abc: 3.021 3.021 5.678
angles: 90.00 90.00 120.00
Atoms (fractional coordinates):
Pr  0.667  0.333  0.750
W  0.333  0.667  0.250


Entry 6:
Crystalline PrW at its relaxed geometry. Source: the Open Quantum Materials Database, functional PBE-GGA.

abc: 4.223 4.223 4.223
angles: 60.00 60.00 60.00
Last column: magnetic moment on the atom in μB.
Atoms (fractional coordinates):
Pr  0.000  0.000  0.000  0.00
W  0.500  0.500  0.500  0.06


Entry 7:
Crystalline Pr2W at its relaxed geometry. Source: the Open Quantum Materials Database, functional PBE-GGA.

abc: 6.086 6.086 6.086
angles: 60.00 60.00 60.00
Atoms (fractional coordinates):
Pr  0.625  0.625  0.125
Pr  0.625  0.125  0.625
Pr  0.125  0.625  0.625
Pr  0.625  0.625  0.625
W  0.000  0.000  0.000
W  0.250  0.250  0.250


Entry 8:
Crystalline Pr2W at its relaxed geometry. Source: the Open Quantum Materials Database, functional PBE-GGA.

abc: 8.587 8.587 8.587
angles: 60.00 60.00 60.00
Atoms (fractional coordinates):
Pr  0.875  0.375  0.375
Pr  0.375  0.875  0.375
Pr  0.375  0.375  0.375
Pr  0.375  0.375  0.875
W  0.250  0.250  0.250
W  0.500  0.500  0.500


Entry 9:
Crystalline PrYW at its relaxed geometry. Source: the Open Quantum Materials Database, functional PBE-GGA.

abc: 4.944 4.944 4.944
angles: 60.00 60.00 60.00
Atoms (fractional coordinates):
Pr  0.250  0.250  0.250
W  0.000  0.000  0.000
Y  0.750  0.750  0.750


Entry 10:
Crystalline PrZnW at its relaxed geometry. Source: the Open Quantum Materials Database, functional PBE-GGA.

abc: 4.863 4.863 4.863
angles: 60.00 60.00 60.00
Atoms (fractional coordinates):
Pr  0.000  0.000  0.000
W  0.250  0.250  0.250
Zn  0.750  0.750  0.750


Entry 11:
Crystalline PrZnW at its relaxed geometry. Source: the Open Quantum Materials Database, functional PBE-GGA.

abc: 4.610 4.610 4.610
angles: 60.00 60.00 60.00
Atoms (fractional coordinates):
Pr  0.250  0.250  0.250
W  0.750  0.750  0.750
Zn  0.000  0.000  0.000


Entry 12:
Crystalline PrZrW at its relaxed geometry. Source: the Open Quantum Materials Database, functional PBE-GGA.

abc: 4.765 4.765 4.765
angles: 60.00 60.00 60.00
Last column: magnetic moment on the atom in μB.
Atoms (fractional coordinates):
Pr  0.000  0.000  0.000  0.00
W  0.250  0.250  0.250  0.27
Zr  0.750  0.750  0.750  -0.03


Entry 13:
Crystalline PrZrW at its relaxed geometry. Source: the Open Quantum Materials Database, functional PBE-GGA.

abc: 4.786 4.786 4.786
angles: 60.00 60.00 60.00
Atoms (fractional coordinates):
Pr  0.250  0.250  0.250
W  0.000  0.000  0.000
Zr  0.750  0.750  0.750


Entry 14:
Crystalline PrY at its relaxed geometry. Source: the Open Quantum Materials Database, functional PBE-GGA.

abc: 4.625 4.625 4.625
angles: 60.00 60.00 60.00
Last column: magnetic moment on the atom in μB.
Atoms (fractional coordinates):
Pr  0.000  0.000  0.000  0.11
Y  0.500  0.500  0.500  0.11


Entry 15:
Crystalline PrY at its relaxed geometry. Source: the Open Quantum Materials Database, functional PBE-GGA.

abc: 4.832 4.832 4.832
angles: 60.00 60.00 60.00
Atoms (fractional coordinates):
Pr  0.000  0.000  0.000
Y  0.250  0.250  0.250


Entry 16:
Crystalline PrY2 at its relaxed geometry. Source: the Open Quantum Materials Database, functional PBE-GGA.

abc: 6.735 6.735 6.735
angles: 60.00 60.00 60.00
Last column: magnetic moment on the atom in μB.
Atoms (fractional coordinates):
Pr  0.000  0.000  0.000  0.47
Pr  0.250  0.250  0.250  0.47
Y  0.625  0.625  0.125  0.26
Y  0.625  0.125  0.625  0.29
Y  0.125  0.625  0.625  0.35
Y  0.625  0.625  0.625  0.29


Entry 17:
Crystalline PrYZn at its relaxed geometry. Source: the Open Quantum Materials Database, functional PBE-GGA.

abc: 5.049 5.049 5.049
angles: 60.00 60.00 60.00
Atoms (fractional coordinates):
Pr  0.250  0.250  0.250
Y  0.750  0.750  0.750
Zn  0.000  0.000  0.000


Entry 18:
Crystalline PrYZr at its relaxed geometry. Source: the Open Quantum Materials Database, functional PBE-GGA.

abc: 5.279 5.279 5.279
angles: 60.00 60.00 60.00
Last column: magnetic moment on the atom in μB.
Atoms (fractional coordinates):
Pr  0.250  0.250  0.250  0.17
Y  0.750  0.750  0.750  0.24
Zr  0.000  0.000  0.000  0.88


Entry 19:
Crystalline PrZn at its relaxed geometry. Source: the Open Quantum Materials Database, functional PBE-GGA.

abc: 6.325 9.964 4.867
angles: 90.00 90.00 90.00
Atoms (fractional coordinates):
Pr  0.468  0.195  0.000
Pr  0.968  0.638  0.000
Pr  0.871  0.074  0.500
Pr  0.218  0.383  0.500
Pr  0.718  0.450  0.500
Pr  0.371  0.760  0.500
Zn  0.946  0.287  0.000
Zn  0.446  0.546  0.000
Zn  0.648  0.894  0.000
Zn  0.148  0.939  0.000
Zn  0.349  0.052  0.500
Zn  0.848  0.781  0.500


Entry 20:
Crystalline PrZn at its relaxed geometry. Source: the Open Quantum Materials Database, functional PBE-GGA.

abc: 4.123 4.123 7.712
angles: 90.00 90.00 120.00
Atoms (fractional coordinates):
Pr  0.000  0.000  0.000
Pr  0.000  0.000  0.500
Zn  0.333  0.667  0.250
Zn  0.667  0.333  0.750


Entry 21:
Crystalline PrZn at its relaxed geometry. Source: the Open Quantum Materials Database, functional PBE-GGA.

abc: 4.714 4.714 4.714
angles: 60.00 60.00 60.00
Last column: magnetic moment on the atom in μB.
Atoms (fractional coordinates):
Pr  0.000  0.000  0.000  0.21
Zn  0.250  0.250  0.250  0.07


Entry 22:
Crystalline PrZn at its relaxed geometry. Source: the Open Quantum Materials Database, functional PBE-GGA.

abc: 5.953 16.226 4.267
angles: 90.00 90.00 90.00
Atoms (fractional coordinates):
Pr  0.899  0.531  0.000
Pr  0.385  0.652  0.000
Pr  0.385  0.848  0.000
Pr  0.899  0.969  0.000
Pr  0.434  0.031  0.500
Pr  0.948  0.152  0.500
Pr  0.948  0.348  0.500
Pr  0.434  0.469  0.500
Zn  0.569  0.162  0.000
Zn  0.206  0.250  0.000
Zn  0.569  0.338  0.000
Zn  0.868  0.750  0.000
Zn  0.465  0.250  0.500
Zn  0.765  0.662  0.500
Zn  0.127  0.750  0.500
Zn  0.765  0.838  0.500


Entry 23:
Crystalline PrZn at its relaxed geometry. Source: the Open Quantum Materials Database, functional PBE-GGA.

abc: 6.085 10.595 4.682
angles: 90.00 90.00 90.00
Atoms (fractional coordinates):
Pr  0.509  0.242  0.000
Pr  0.009  0.925  0.000
Pr  0.496  0.005  0.500
Pr  0.996  0.161  0.500
Pr  0.763  0.478  0.500
Pr  0.263  0.689  0.500
Zn  0.034  0.378  0.000
Zn  0.415  0.525  0.000
Zn  0.915  0.642  0.000
Zn  0.534  0.789  0.000
Zn  0.284  0.391  0.500
Zn  0.784  0.776  0.500


Entry 24:
Crystalline PrZn11 at its relaxed geometry. Source: the Open Quantum Materials Database, functional PBE-GGA.

abc: 6.829 8.235 8.235
angles: 99.90 65.50 114.50
Atoms (fractional coordinates):
Pr  0.000  0.000  0.000
Pr  0.750  0.500  0.500
Zn  0.500  0.000  0.000
Zn  0.097  0.673  0.084
Zn  0.819  0.327  0.084
Zn  0.653  0.584  0.173
Zn  0.174  0.416  0.173
Zn  0.375  0.750  0.250
Zn  0.375  0.250  0.250
Zn  0.576  0.084  0.327
Zn  0.097  0.916  0.327
Zn  0.931  0.173  0.416
Zn  0.653  0.827  0.416
Zn  0.250  0.500  0.500
Zn  0.242  0.173  0.584
Zn  0.174  0.827  0.584
Zn  0.508  0.084  0.673
Zn  0.819  0.916  0.673
Zn  0.375  0.750  0.750
Zn  0.875  0.250  0.750
Zn  0.242  0.416  0.827
Zn  0.931  0.584  0.827
Zn  0.576  0.673  0.916
Zn  0.508  0.327  0.916


Entry 25:
Crystalline PrZn at its relaxed geometry. Source: the Open Quantum Materials Database, functional PBE-GGA.

abc: 4.911 3.920 5.455
angles: 90.00 90.00 90.00
Atoms (fractional coordinates):
Pr  0.534  0.500  0.000
Pr  0.299  0.000  0.500
Zn  0.009  0.000  0.000
Zn  0.824  0.500  0.500


Entry 26:
Crystalline Pr2Zn17 at its relaxed geometry. Source: the Open Quantum Materials Database, functional PBE-GGA.

abc: 9.045 9.045 8.805
angles: 90.00 90.00 120.00
Atoms (fractional coordinates):
Pr  0.000  0.000  0.250
Pr  0.667  0.333  0.250
Pr  0.000  0.000  0.750
Pr  0.333  0.667  0.750
Zn  0.500  0.000  0.000
Zn  0.000  0.500  0.000
Zn  0.500  0.500  0.000
Zn  0.838  0.676  0.020
Zn  0.324  0.162  0.020
Zn  0.838  0.162  0.020
Zn  0.333  0.667  0.103
Zn  0.042  0.372  0.250
Zn  0.330  0.372  0.250
Zn  0.042  0.670  0.250
Zn  0.628  0.670  0.250
Zn  0.330  0.958  0.250
Zn  0.628  0.958  0.250
Zn  0.333  0.667  0.397
Zn  0.324  0.162  0.480
Zn  0.838  0.162  0.480
Zn  0.838  0.676  0.480
Zn  0.500  0.000  0.500
Zn  0.000  0.500  0.500
Zn  0.500  0.500  0.500
Zn  0.162  0.324  0.520
Zn  0.162  0.838  0.520
Zn  0.676  0.838  0.520
Zn  0.667  0.333  0.603
Zn  0.372  0.042  0.750
Zn  0.670  0.042  0.750
Zn  0.372  0.330  0.750
Zn  0.958  0.330  0.750
Zn  0.670  0.628  0.750
Zn  0.958  0.628  0.750
Zn  0.667  0.333  0.897
Zn  0.162  0.838  0.980
Zn  0.676  0.838  0.980
Zn  0.162  0.324  0.980


| no. | raw total energy (eV per atom) |
| --- | --- |
| 1 | -4.67 |
| 2 | -5.97 |
| 3 | -8.64 |
| 4 | -6.08 |
| 5 | -7.76 |
| 6 | -6.97 |
| 7 | -5.95 |
| 8 | -5.56 |
| 9 | -7.19 |
| 10 | -4.79 |
| 11 | -5.40 |
| 12 | -7.12 |
| 13 | -8.01 |
| 14 | -4.94 |
| 15 | -3.86 |
| 16 | -5.61 |
| 17 | -4.15 |
| 18 | -5.82 |
| 19 | -3.20 |
| 20 | -3.00 |
| 21 | -2.46 |
| 22 | -3.16 |
| 23 | -3.18 |
| 24 | -1.78 |
| 25 | -3.12 |
| 26 | -1.90 |